First-principles (PBE-GGA) data for a relaxed structure of YThGaOs, as listed in the Alexandria database.

Lattice parameters (Å, degrees): 3.969 6.075 6.075 40.12 90.00 90.00
Fractional coordinates of all 4 atoms:
1 Y 0.000 0.000 0.000
2 Th 0.500 0.277 0.277
3 Ga 0.500 0.572 0.572
4 Os 0.000 0.730 0.730

Output
**DOS(E_F)**: 0.87 states/eV/atom
**Uncorrected energy**: -30.14 eV for the cell shown
**Energy of formation from the pure elements**: -2.0 eV/f.u.